Record 1
A geometry-optimized MgVAs structure, computed with GGA-PBE.

Calculated values
Space group   P2_1/m, No. 11
ΔE to the lowest computed polymorph   178 meV/atom

abc: 4.817 3.631 6.487
angles: 90.00 109.09 90.00
Element x y z (fractional)
Mg  0.178  0.250  0.417
Mg  0.822  0.750  0.583
V  0.173  0.250  0.931
V  0.827  0.750  0.069
As  0.387  0.750  0.198
As  0.613  0.250  0.802


Record 2
A geometry-optimized MgV2As2 structure, computed with GGA-PBE.

Calculated values
Space group   P4/mbm, No. 127
ΔE to the lowest computed polymorph   99 meV/atom

abc: 7.070 7.070 3.187
angles: 90.00 90.00 90.00
Element x y z (fractional)
Mg  0.000  0.000  0.000
Mg  0.500  0.500  0.000
V  0.132  0.368  0.000
V  0.368  0.868  0.000
V  0.632  0.132  0.000
V  0.868  0.632  0.000
As  0.157  0.657  0.500
As  0.343  0.157  0.500
As  0.657  0.843  0.500
As  0.843  0.343  0.500


Record 3
A geometry-optimized MgAs2W structure, computed with GGA-PBE.

Calculated values
Space group   Imm2, No. 44

abc: 6.864 6.864 6.864
angles: 152.18 150.33 41.12
Element x y z (fractional)
Mg  0.000  0.000  0.000
As  0.398  0.398  0.000
As  0.668  0.168  0.500
W  0.250  0.750  0.500


Record 4
A geometry-optimized MgAsW2 structure, computed with GGA-PBE.

Calculated values
Space group   R3m, No. 160
ΔE to the lowest computed polymorph   68 meV/atom

abc: 8.872 8.872 8.872
angles: 20.07 20.07 20.07
Element x y z (fractional)
Mg  0.000  0.000  0.000
As  0.761  0.761  0.761
W  0.243  0.243  0.243
W  0.503  0.503  0.503


Record 5
A geometry-optimized MgAsW2 structure, computed with GGA-PBE.

Calculated values
Space group   C2/m, No. 12
ΔE to the lowest computed polymorph   321 meV/atom

abc: 5.308 5.308 2.806
angles: 100.49 100.49 117.21
Element x y z (fractional)
Mg  0.000  0.000  0.000
As  0.500  0.500  0.000
W  0.000  0.500  0.500
W  0.500  0.000  0.500


Record 6
A geometry-optimized MgAs2W structure, computed with GGA-PBE.

Calculated values
Space group   P4mm, No. 99

abc: 2.811 2.811 9.710
angles: 90.00 90.00 90.00
Element x y z (fractional)
Mg  0.000  0.000  0.000
As  0.000  0.000  0.437
As  0.500  0.500  0.776
W  0.500  0.500  0.231


Record 7
A geometry-optimized MgAs2W structure, computed with GGA-PBE.

Calculated values
Space group   P4mm, No. 99

abc: 3.422 3.422 6.065
angles: 90.00 90.00 90.00
Element x y z (fractional)
Mg  0.000  0.000  0.000
As  0.000  0.000  0.462
As  0.500  0.500  0.772
W  0.500  0.500  0.323


Record 8
A geometry-optimized MgAs2W structure, computed with GGA-PBE.

Calculated values
Space group   Cm, No. 8

abc: 4.762 4.762 5.333
angles: 107.36 107.36 41.69
Element x y z (fractional)
Mg  0.000  0.000  0.000
As  0.232  0.232  0.781
As  0.450  0.450  0.392
W  0.746  0.746  0.435


Record 9
A geometry-optimized MgAs2W structure, computed with GGA-PBE.

Calculated values
Space group   C2/m, No. 12

abc: 4.522 4.522 3.295
angles: 90.33 90.33 96.63
Element x y z (fractional)
Mg  0.000  0.000  0.000
As  0.000  0.500  0.500
As  0.500  0.000  0.500
W  0.500  0.500  0.000


Record 10
A geometry-optimized MgAs2W structure, computed with GGA-PBE.

Calculated values
Space group   R3m, No. 160

abc: 10.211 10.211 10.211
angles: 16.97 16.97 16.97
Element x y z (fractional)
Mg  0.000  0.000  0.000
As  0.262  0.262  0.262
As  0.479  0.479  0.479
W  0.747  0.747  0.747


Record 11
A geometry-optimized MgAs2W structure, computed with GGA-PBE.

Calculated values
Space group   P2/m, No. 10

abc: 3.225 3.224 6.757
angles: 90.00 96.51 90.00
Element x y z (fractional)
Mg  0.000  0.000  0.000
As  0.456  0.500  0.283
As  0.544  0.500  0.717
W  0.000  0.000  0.500


Record 12
A geometry-optimized Mg2AsW structure, computed with GGA-PBE.

Calculated values
Space group   P2/m, No. 10

abc: 2.832 4.837 5.272
angles: 90.00 101.29 90.00
Element x y z (fractional)
Mg  0.148  0.000  0.248
Mg  0.852  0.000  0.752
As  0.500  0.500  0.500
W  0.500  0.500  0.000


What are the volume values for these records? In order: 17.9; 15.9; 18.6; 18.0; 16.5; 19.2; 17.8; 19.1; 16.7; 19.8; 17.5; 17.7 A^3/atom.
What are the final energy values for these records? In order: -5.3670; -6.0089; -6.0023; -7.7834; -7.5303; -5.6775; -5.7924; -5.8999; -5.7157; -5.6561; -6.0390; -4.8795 eV/atom.
What are the DFT formation energy values for these records? In order: -0.246; -0.183; -0.041; 0.254; 0.507; 0.284; 0.169; 0.062; 0.246; 0.306; -0.077; 0.319 eV per atom.